Entry 1:
! CsYNiBr6 (PBE, relaxed); values from VASP
! - space group = P312
! - ΔE_f (raw) (eV/atom) = -1.34
! - energy (eV for the cell shown) = -35.17
&SYSTEM
  ibrav = 0, nat = 9, ntyp = 4
/
ATOMIC_SPECIES
Cs 132.91 Cs.upf
Y 88.91 Y.upf
Ni 58.69 Ni.upf
Br 79.90 Br.upf
ATOMIC_POSITIONS angstrom
Cs 0.000 0.000 0.000
Y 3.515 2.030 4.111
Ni 0.000 4.059 4.111
Br -1.180 2.337 2.573
Br -2.081 3.899 5.649
Br 1.180 2.337 5.649
Br -0.902 5.942 2.573
Br 2.081 3.899 2.573
Br 0.902 5.942 5.649
CELL_PARAMETERS angstrom
7.031 0.000 0.000
-3.515 6.089 0.000
0.000 0.000 8.222

Entry 2:
! Cs2YNiBr6 (PBE, relaxed); values from VASP
! - space group = I4/mmm
! - ΔE_f (raw) (eV/atom) = -1.43
! - energy (eV for the cell shown) = -38.26
&SYSTEM
  ibrav = 0, nat = 10, ntyp = 4
/
ATOMIC_SPECIES
Cs 132.91 Cs.upf
Y 88.91 Y.upf
Ni 58.69 Ni.upf
Br 79.90 Br.upf
ATOMIC_POSITIONS angstrom
Cs 3.891 0.000 2.758
Cs 0.000 3.891 2.758
Y 0.000 0.000 0.000
Ni 0.000 0.000 5.515
Br 0.000 0.000 2.818
Br 1.993 1.993 0.000
Br 1.898 -1.898 5.515
Br -1.898 1.898 5.515
Br 1.898 1.898 5.515
Br 0.000 0.000 8.213
CELL_PARAMETERS angstrom
-3.891 3.891 5.515
3.891 -3.891 5.515
3.891 3.891 -5.515

What is the formula in the first record? CsYNiBr6

Look up the ΔE_f (raw) of the first one. -1.34 eV/atom

Look up the ΔE_f (raw) of the first one. -1.34 eV/atom